! BeSb PBE relaxed; values from VASP
! V (Å³ per atom): 20.023
! Energy above the most stable polymorph in this dataset (kJ/mol of formula units): 67
! Energy (eV per formula unit): -6.82
! Space-group type: P-6m2 (187)
! Energy relative to the elements, uncorrected (meV per atom): 515
&SYSTEM
  ibrav = 0, nat = 2, ntyp = 2
/
ATOMIC_SPECIES
Sb 121.76 Sb.upf
Be 9.01 Be.upf
CELL_PARAMETERS angstrom
-3.6185 -0.2174 -1.4371
2.4002 -3.0595 -0.2902
-1.0007 -1.0390 2.6770
ATOMIC_POSITIONS crystal
Sb 0.6667 0.3333 0.5000
Be 0.0000 0.0000 0.0000